Material: Mo2PSe
Method: DFT, PBE
State: optimized geometry

abc: 6.326 6.326 6.326
angles: 150.23 149.68 43.01
Fractional coordinates of all 4 atoms:
Mo  0.968  0.968  0.000
Se  0.792  0.292  0.500
P  0.543  0.543  0.000
Mo  0.197  0.697  0.500

Properties
E_tot ... -7.921 eV/atom
ΔE_f (raw) ... -0.282 eV/atom
Symmetry ... Imm2
DOS(E_F) ... 2.41 states/eV/cell